Entry 1
Material: Li7Mn4CoO12
Method: DFT, GGA+U
State: relaxed

Structure (CIF):
```
data_Li7Mn4CoO12
_symmetry_space_group_name_H-M 'P 1 2/m 1'
_symmetry_Int_Tables_number 10
_cell_length_a 5.178
_cell_length_b 8.586
_cell_length_c 5.196
_cell_angle_alpha 90.00
_cell_angle_beta 112.08
_cell_angle_gamma 90.00
loop_
_symmetry_equiv_pos_as_xyz
'x,y,z'
'-x,-y,-z'
'-x,y,-z'
'x,-y,z'
loop_
_atom_site_label
_atom_site_fract_x
_atom_site_fract_y
_atom_site_fract_z
Li1 0.000 0.000 0.000
Li2 0.000 0.160 0.500
Li3 0.000 0.332 0.000
Li4 0.000 0.500 0.500
Li5 0.500 0.000 0.500
Mn1 0.500 0.167 0.000
Mn2 0.500 0.329 0.500
Co1 0.500 0.500 0.000
O1 0.263 0.333 0.775
O2 0.265 0.000 0.780
O3 0.286 0.173 0.240
O4 0.291 0.500 0.249
```

Summary:
- Volume: 214 Å³ per cell
- Calculated density: 4.0 g/cm3
- Size of the total moment: 14.00 μB per cell

Entry 2
Material: Li7Mn4CoO12
Method: DFT, GGA+U
State: relaxed

Structure (CIF):
```
data_Li7Mn4CoO12
_symmetry_space_group_name_H-M 'P 1'
_symmetry_Int_Tables_number 1
_cell_length_a 5.269
_cell_length_b 5.958
_cell_length_c 7.762
_cell_angle_alpha 76.18
_cell_angle_beta 74.76
_cell_angle_gamma 69.84
loop_
_symmetry_equiv_pos_as_xyz
'x,y,z'
loop_
_atom_site_label
_atom_site_fract_x
_atom_site_fract_y
_atom_site_fract_z
Li1 0.000 0.000 0.000
Li2 0.003 0.343 0.676
Li3 0.019 0.511 0.003
Li4 0.034 0.686 0.340
Li5 0.504 0.187 0.845
Li6 0.514 0.517 0.506
Li7 0.532 0.840 0.168
Mn1 0.020 0.183 0.336
Mn2 0.518 0.683 0.840
Mn3 0.519 0.014 0.507
Mn4 0.520 0.349 0.171
Co1 0.019 0.846 0.674
O1 0.244 0.860 0.434
O2 0.279 0.553 0.762
O3 0.286 0.199 0.110
O4 0.288 0.006 0.755
O5 0.294 0.339 0.417
O6 0.301 0.672 0.084
O7 0.737 0.360 0.928
O8 0.746 0.691 0.597
O9 0.748 0.022 0.257
O10 0.755 0.482 0.251
O11 0.762 0.831 0.900
O12 0.793 0.164 0.584
```

Summary:
- Volume: 218 Å³ per cell
- Calculated density: 4.0 g/cm3
- Size of the total moment: 16.00 μB per cell

What should be chosen as the least stable of them? Choose entry 2.

Entry 1
Material: Li7Mn4CoO12
Method: DFT, GGA+U
State: relaxed

Structure (CIF):
```
data_Li7Mn4CoO12
_symmetry_space_group_name_H-M 'C 1 2/m 1'
_symmetry_Int_Tables_number 12
_cell_length_a 9.720
_cell_length_b 8.586
_cell_length_c 5.210
_cell_angle_alpha 90.00
_cell_angle_beta 97.31
_cell_angle_gamma 90.00
loop_
_symmetry_equiv_pos_as_xyz
'x,y,z'
'-x,-y,-z'
'-x,y,-z'
'x,-y,z'
'x+1/2,y+1/2,z'
'-x+1/2,-y+1/2,-z'
'-x+1/2,y+1/2,-z'
'x+1/2,-y+1/2,z'
loop_
_atom_site_label
_atom_site_fract_x
_atom_site_fract_y
_atom_site_fract_z
Li1 0.000 0.000 0.000
Li2 0.238 0.000 0.743
Li3 0.245 0.336 0.734
Mn1 0.000 0.167 0.500
Mn2 0.000 0.330 0.000
Co1 0.000 0.500 0.500
O1 0.105 0.500 0.852
O2 0.109 0.174 0.845
O3 0.115 0.000 0.393
O4 0.116 0.333 0.390
```

Summary:
- Volume: 431 Å³ per cell
- Calculated density: 4.0 g/cm3
- Size of the total moment: 28.00 μB per cell

Entry 2
Material: Li7Mn4CoO12
Method: DFT, GGA+U
State: relaxed

Structure (CIF):
```
data_Li7Mn4CoO12
_symmetry_space_group_name_H-M 'P 1'
_symmetry_Int_Tables_number 1
_cell_length_a 2.918
_cell_length_b 7.728
_cell_length_c 9.889
_cell_angle_alpha 100.22
_cell_angle_beta 90.28
_cell_angle_gamma 100.77
loop_
_symmetry_equiv_pos_as_xyz
'x,y,z'
loop_
_atom_site_label
_atom_site_fract_x
_atom_site_fract_y
_atom_site_fract_z
Li1 0.000 0.000 0.000
Li2 0.075 0.156 0.771
Li3 0.158 0.329 0.531
Li4 0.325 0.651 0.005
Li5 0.496 0.008 0.542
Li6 0.654 0.306 0.990
Li7 0.818 0.649 0.536
Mn1 0.241 0.493 0.268
Mn2 0.411 0.830 0.771
Mn3 0.575 0.162 0.267
Mn4 0.908 0.828 0.271
Co1 0.729 0.463 0.763
O1 0.031 0.070 0.376
O2 0.114 0.244 0.159
O3 0.206 0.415 0.889
O4 0.288 0.585 0.658
O5 0.370 0.747 0.377
O6 0.446 0.906 0.162
O7 0.525 0.054 0.885
O8 0.622 0.254 0.643
O9 0.700 0.410 0.376
O10 0.788 0.589 0.162
O11 0.871 0.746 0.878
O12 0.942 0.895 0.657
```

Summary:
- Volume: 215 Å³ per cell
- Calculated density: 4.0 g/cm3
- Size of the total moment: 0.18 μB per cell

Entry 3
Material: Li7Mn4CoO12
Method: DFT, GGA+U
State: relaxed

Structure (CIF):
```
data_Li7Mn4CoO12
_symmetry_space_group_name_H-M 'P 1'
_symmetry_Int_Tables_number 1
_cell_length_a 2.929
_cell_length_b 7.775
_cell_length_c 10.189
_cell_angle_alpha 71.82
_cell_angle_beta 89.30
_cell_angle_gamma 80.09
loop_
_symmetry_equiv_pos_as_xyz
'x,y,z'
loop_
_atom_site_label
_atom_site_fract_x
_atom_site_fract_y
_atom_site_fract_z
Li1 0.000 0.000 0.000
Li2 0.013 0.988 0.499
Li3 0.340 0.343 0.513
Li4 0.372 0.312 0.997
Li5 0.638 0.670 0.000
Li6 0.678 0.659 0.507
Li7 0.840 0.328 0.754
Mn1 0.161 0.670 0.254
Mn2 0.169 0.654 0.749
Mn3 0.502 0.003 0.756
Mn4 0.859 0.327 0.255
Co1 0.505 0.996 0.250
O1 0.073 0.839 0.859
O2 0.078 0.830 0.371
O3 0.244 0.511 0.637
O4 0.288 0.479 0.148
O5 0.421 0.186 0.367
O6 0.434 0.144 0.870
O7 0.544 0.816 0.130
O8 0.595 0.818 0.646
O9 0.725 0.522 0.864
O10 0.797 0.492 0.369
O11 0.926 0.177 0.137
O12 0.945 0.136 0.642
```

Summary:
- Volume: 217 Å³ per cell
- Calculated density: 4.0 g/cm3
- Size of the total moment: 16.00 μB per cell

What should be chosen as the least stable of them? Choose entry 2.

Entry 1
Material: Li7Mn4CoO12
Method: DFT, GGA+U
State: relaxed

Structure (CIF):
```
data_Li7Mn4CoO12
_symmetry_space_group_name_H-M 'C 1 m 1'
_symmetry_Int_Tables_number 8
_cell_length_a 29.384
_cell_length_b 2.863
_cell_length_c 5.225
_cell_angle_alpha 90.00
_cell_angle_beta 97.87
_cell_angle_gamma 90.00
loop_
_symmetry_equiv_pos_as_xyz
'x,y,z'
'x,-y,z'
'x+1/2,y+1/2,z'
'x+1/2,-y+1/2,z'
loop_
_atom_site_label
_atom_site_fract_x
_atom_site_fract_y
_atom_site_fract_z
Li1 0.000 0.000 0.000
Li2 0.002 0.500 0.531
Li3 0.170 0.500 0.040
Li4 0.176 0.000 0.586
Li5 0.250 0.500 0.768
Li6 0.325 0.000 0.965
Li7 0.329 0.500 0.484
Mn1 0.085 0.500 0.279
Mn2 0.249 0.000 0.268
Mn3 0.416 0.000 0.753
Mn4 0.417 0.500 0.253
Co1 0.084 0.000 0.777
O1 0.046 0.500 0.891
O2 0.049 0.000 0.423
O3 0.118 0.000 0.128
O4 0.121 0.500 0.663
O5 0.211 0.000 0.936
O6 0.212 0.500 0.389
O7 0.286 0.500 0.145
O8 0.288 0.000 0.598
O9 0.378 0.500 0.862
O10 0.380 0.000 0.362
O11 0.456 0.500 0.655
O12 0.457 0.000 0.152
```

Summary:
- Volume: 435 Å³ per cell
- Calculated density: 4.0 g/cm3
- Size of the total moment: 28.00 μB per cell

Entry 2
Material: Li7Mn4CoO12
Method: DFT, GGA+U
State: relaxed

Structure (CIF):
```
data_Li7Mn4CoO12
_symmetry_space_group_name_H-M 'C 1 2/m 1'
_symmetry_Int_Tables_number 12
_cell_length_a 15.620
_cell_length_b 2.880
_cell_length_c 9.789
_cell_angle_alpha 90.00
_cell_angle_beta 98.91
_cell_angle_gamma 90.00
loop_
_symmetry_equiv_pos_as_xyz
'x,y,z'
'-x,-y,-z'
'-x,y,-z'
'x,-y,z'
'x+1/2,y+1/2,z'
'-x+1/2,-y+1/2,-z'
'-x+1/2,y+1/2,-z'
'x+1/2,-y+1/2,z'
loop_
_atom_site_label
_atom_site_fract_x
_atom_site_fract_y
_atom_site_fract_z
Li1 0.000 0.000 0.000
Li2 0.071 0.500 0.239
Li3 0.085 0.000 0.753
Li4 0.246 0.000 0.253
Mn1 0.162 0.500 0.996
Mn2 0.164 0.000 0.495
Co1 0.000 0.500 0.500
O1 0.031 0.000 0.384
O2 0.057 0.500 0.884
O3 0.131 0.000 0.111
O4 0.132 0.500 0.613
O5 0.199 0.500 0.379
O6 0.212 0.000 0.893
```

Summary:
- Volume: 435 Å³ per cell
- Calculated density: 4.0 g/cm3
- Size of the total moment: 32.00 μB per cell

What should be chosen as the least stable of them? Choose entry 1.

Entry 1
Material: Li7Mn4CoO12
Method: DFT, GGA+U
State: relaxed

Structure (CIF):
```
data_Li7Mn4CoO12
_symmetry_space_group_name_H-M 'C 1 m 1'
_symmetry_Int_Tables_number 8
_cell_length_a 15.641
_cell_length_b 2.879
_cell_length_c 11.766
_cell_angle_alpha 90.00
_cell_angle_beta 124.75
_cell_angle_gamma 90.00
loop_
_symmetry_equiv_pos_as_xyz
'x,y,z'
'x,-y,z'
'x+1/2,y+1/2,z'
'x+1/2,-y+1/2,z'
loop_
_atom_site_label
_atom_site_fract_x
_atom_site_fract_y
_atom_site_fract_z
Li1 0.000 0.000 0.000
Li2 0.002 0.000 0.753
Li3 0.006 0.000 0.510
Li4 0.154 0.500 0.993
Li5 0.173 0.500 0.503
Li6 0.333 0.000 0.007
Li7 0.345 0.000 0.509
Mn1 0.005 0.000 0.256
Mn2 0.164 0.500 0.751
Mn3 0.333 0.000 0.253
Mn4 0.342 0.000 0.758
Co1 0.169 0.500 0.253
O1 0.010 0.500 0.373
O2 0.022 0.500 0.640
O3 0.162 0.000 0.138
O4 0.171 0.000 0.866
O5 0.176 0.000 0.369
O6 0.179 0.000 0.648
O7 0.327 0.500 0.861
O8 0.328 0.500 0.136
O9 0.334 0.500 0.642
O10 0.340 0.500 0.372
O11 0.484 0.000 0.869
O12 0.499 0.000 0.138
```

Summary:
- Volume: 435 Å³ per cell
- Calculated density: 4.0 g/cm3
- Size of the total moment: 32.00 μB per cell

Entry 2
Material: Li7Mn4CoO12
Method: DFT, GGA+U
State: relaxed

Structure (CIF):
```
data_Li7Mn4CoO12
_symmetry_space_group_name_H-M 'P -1'
_symmetry_Int_Tables_number 2
_cell_length_a 5.799
_cell_length_b 5.846
_cell_length_c 7.597
_cell_angle_alpha 68.26
_cell_angle_beta 79.15
_cell_angle_gamma 60.41
loop_
_symmetry_equiv_pos_as_xyz
'x,y,z'
'-x,-y,-z'
loop_
_atom_site_label
_atom_site_fract_x
_atom_site_fract_y
_atom_site_fract_z
Li1 0.000 0.000 0.000
Li2 0.000 0.500 0.000
Li3 0.164 0.017 0.322
Li4 0.340 0.989 0.674
Li5 0.500 0.000 0.000
Mn1 0.166 0.501 0.327
Mn2 0.330 0.497 0.674
Co1 0.500 0.500 0.000
O1 0.022 0.719 0.510
O2 0.170 0.267 0.815
O3 0.193 0.724 0.831
O4 0.331 0.278 0.168
O5 0.352 0.725 0.169
O6 0.494 0.280 0.495
```

Summary:
- Volume: 208 Å³ per cell
- Calculated density: 4.1 g/cm3
- Size of the total moment: 9.99 μB per cell

Entry 3
Material: Li7Mn4CoO12
Method: DFT, GGA+U
State: relaxed

Structure (CIF):
```
data_Li7Mn4CoO12
_symmetry_space_group_name_H-M 'P 1 m 1'
_symmetry_Int_Tables_number 6
_cell_length_a 5.203
_cell_length_b 2.869
_cell_length_c 14.583
_cell_angle_alpha 90.00
_cell_angle_beta 91.73
_cell_angle_gamma 90.00
loop_
_symmetry_equiv_pos_as_xyz
'x,y,z'
'x,-y,z'
loop_
_atom_site_label
_atom_site_fract_x
_atom_site_fract_y
_atom_site_fract_z
Li1 0.000 0.000 0.000
Li2 0.011 0.000 0.500
Li3 0.132 0.500 0.851
Li4 0.362 0.000 0.160
Li5 0.486 0.500 0.503
Li6 0.629 0.000 0.843
Li7 0.877 0.500 0.153
Mn1 0.181 0.500 0.333
Mn2 0.502 0.500 0.001
Mn3 0.682 0.000 0.336
Mn4 0.819 0.500 0.671
Co1 0.319 0.000 0.669
O1 0.038 0.000 0.257
O2 0.166 0.500 0.595
O3 0.210 0.500 0.078
O4 0.316 0.000 0.414
O5 0.340 0.000 0.927
O6 0.469 0.500 0.741
O7 0.540 0.500 0.260
O8 0.641 0.000 0.600
O9 0.662 0.000 0.073
O10 0.793 0.500 0.920
O11 0.819 0.500 0.416
O12 0.999 0.000 0.739
```

Summary:
- Volume: 218 Å³ per cell
- Calculated density: 4.0 g/cm3
- Size of the total moment: 1.78 μB per cell

Entry 4
Material: Li7Mn4CoO12
Method: DFT, GGA+U
State: relaxed

Structure (CIF):
```
data_Li7Mn4CoO12
_symmetry_space_group_name_H-M 'P 1'
_symmetry_Int_Tables_number 1
_cell_length_a 5.790
_cell_length_b 5.931
_cell_length_c 7.721
_cell_angle_alpha 76.71
_cell_angle_beta 68.20
_cell_angle_gamma 60.83
loop_
_symmetry_equiv_pos_as_xyz
'x,y,z'
loop_
_atom_site_label
_atom_site_fract_x
_atom_site_fract_y
_atom_site_fract_z
Li1 0.000 0.000 0.000
Li2 0.003 0.659 0.327
Li3 0.478 0.858 0.680
Li4 0.485 0.517 0.004
Li5 0.494 0.004 0.999
Li6 0.520 0.141 0.307
Li7 0.996 0.337 0.660
Mn1 0.000 0.496 0.998
Mn2 0.498 0.670 0.325
Mn3 0.501 0.330 0.663
Mn4 0.990 0.843 0.665
Co1 0.004 0.158 0.326
O1 0.219 0.680 0.836
O2 0.225 0.005 0.500
O3 0.227 0.333 0.163
O4 0.240 0.206 0.835
O5 0.242 0.850 0.183
O6 0.244 0.532 0.512
O7 0.752 0.467 0.478
O8 0.761 0.144 0.806
O9 0.761 0.793 0.155
O10 0.772 0.666 0.826
O11 0.774 0.988 0.494
O12 0.779 0.321 0.153
```

Summary:
- Volume: 215 Å³ per cell
- Calculated density: 4.0 g/cm3
- Size of the total moment: 14.00 μB per cell

What should be chosen as the least stable of them? Choose entry 2.